No. 1
The following is a DFT calculation (GGA-PBE) of an optimized crystal structure of KHgAs.

```
data_KHgAs
_chemical_formula_sum 'K4 Hg4 As4'
_space_group_name_H-M_alt 'P n m a'
_space_group_IT_number 62
_space_group_name_Hall '-P 2ac 2n'
_cell_length_a 8.323
_cell_length_b 4.869
_cell_length_c 8.110
_cell_angle_alpha 90.00
_cell_angle_beta 90.00
_cell_angle_gamma 90.00
loop_
_atom_site_label
_atom_site_fract_x
_atom_site_fract_y
_atom_site_fract_z
K1 0.006 0.250 0.181
Hg1 0.169 0.250 0.588
As1 0.184 0.750 0.401
```

No. 2
The following is a DFT calculation (GGA-PBE) of an optimized crystal structure of SrNiB4.

```
data_SrNiB4
_chemical_formula_sum 'Sr2 Ni2 B8'
_space_group_name_H-M_alt 'I m m m'
_space_group_IT_number 71
_space_group_name_Hall '-I 2 2'
_cell_length_a 3.008
_cell_length_b 5.432
_cell_length_c 8.147
_cell_angle_alpha 90.00
_cell_angle_beta 90.00
_cell_angle_gamma 90.00
loop_
_atom_site_label
_atom_site_fract_x
_atom_site_fract_y
_atom_site_fract_z
Sr1 0.000 0.000 0.000
Ni1 0.000 0.000 0.500
B1 0.000 0.342 0.241
```

No. 3
The following is a DFT calculation (GGA-PBE) of an optimized crystal structure of Lu4SnC2S.

```
data_Lu4SnC2S
_chemical_formula_sum 'Lu4 Sn1 C2 S1'
_space_group_name_H-M_alt 'P -6 m 2'
_space_group_IT_number 187
_space_group_name_Hall 'P -6 2'
_cell_length_a 3.5719
_cell_length_b 3.5719
_cell_length_c 13.9726
_cell_angle_alpha 90.00
_cell_angle_beta 90.00
_cell_angle_gamma 120.00
loop_
_atom_site_label
_atom_site_fract_x
_atom_site_fract_y
_atom_site_fract_z
Lu1 0.0000 0.0000 0.1323
Lu2 0.3333 0.6667 0.3168
Sn1 0.0000 0.0000 0.5000
C1 0.6667 0.3333 0.2260
S1 0.3333 0.6667 0.0000
```

No. 4
The following is a DFT calculation (GGA-PBE) of an optimized crystal structure of CdAgSb.

```
data_CdAgSb
_chemical_formula_sum 'Cd3 Ag3 Sb3'
_space_group_name_H-M_alt 'P -6 2 m'
_space_group_IT_number 189
_space_group_name_Hall 'P -6 -2'
_cell_length_a 7.7657
_cell_length_b 7.7657
_cell_length_c 4.1795
_cell_angle_alpha 90.00
_cell_angle_beta 90.00
_cell_angle_gamma 120.00
loop_
_atom_site_label
_atom_site_fract_x
_atom_site_fract_y
_atom_site_fract_z
Cd1 0.0000 0.2715 0.0000
Ag1 0.0000 0.6009 0.5000
Sb1 0.0000 0.0000 0.5000
Sb2 0.3333 0.6667 0.0000
```

No. 5
The following is a DFT calculation (GGA-PBE) of an optimized crystal structure of Ta2Se8I.

```
data_Ta2Se8I
_chemical_formula_sum 'Ta8 Se32 I4'
_space_group_name_H-M_alt 'I 4 2 2'
_space_group_IT_number 97
_space_group_name_Hall 'I 4 2'
_cell_length_a 9.654
_cell_length_b 9.654
_cell_length_c 12.940
_cell_angle_alpha 90.00
_cell_angle_beta 90.00
_cell_angle_gamma 90.00
loop_
_atom_site_label
_atom_site_fract_x
_atom_site_fract_y
_atom_site_fract_z
Ta1 0.000 0.500 0.000
Ta2 0.000 0.500 0.250
Se1 0.046 0.287 0.370
Se2 0.120 0.313 0.880
I1 0.000 0.000 0.154
```

No. 6
The following is a DFT calculation (GGA-PBE) of an optimized crystal structure of SrSmPO.

```
data_SrSmPO
_chemical_formula_sum 'Sr2 Sm2 P2 O2'
_space_group_name_H-M_alt 'P 4/n m m'
_space_group_IT_number 129
_cell_length_a 5.554
_cell_length_b 5.554
_cell_length_c 5.666
_cell_angle_alpha 90.00
_cell_angle_beta 90.00
_cell_angle_gamma 90.00
loop_
_space_group_symop_operation_xyz
'x,y,z'
'-x,-y,-z'
'-y+1/2,x,z'
'y+1/2,-x,-z'
'-x+1/2,-y+1/2,z'
'x+1/2,y+1/2,-z'
'y,-x+1/2,z'
'-y,x+1/2,-z'
'x+1/2,-y,-z'
'-x+1/2,y,z'
'-y,-x,-z'
'y,x,z'
'-x,y+1/2,-z'
'x,-y+1/2,z'
'y+1/2,x+1/2,-z'
'-y+1/2,-x+1/2,z'
loop_
_atom_site_label
_atom_site_fract_x
_atom_site_fract_y
_atom_site_fract_z
Sr1 0.250 0.250 0.001
Sm1 0.250 0.750 0.500
P1 0.250 0.250 0.501
O1 0.250 0.750 0.000
```

Number 1: energy -0.08540 hartree per atom, calculated density 6.36 g cm⁻³. Number 2: energy -0.19637 hartree per atom, calculated density 4.73 g cm⁻³. Number 3: energy -0.24086 hartree per atom, calculated density 9.41 g cm⁻³. Number 4: energy -0.09111 hartree per atom, calculated density 7.81 g cm⁻³. Number 5: energy -0.19689 hartree per atom, calculated density 6.17 g cm⁻³. Number 6: energy -0.22381 hartree per atom, calculated density 5.41 g cm⁻³.